No. 1
A plane-wave DFT calculation with PBE was carried out for crystalline Eu3As4Pd4 at its relaxed geometry.

* SG: Pmmm, No. 47
* V: 233.5 Å³ per cell
* Fermi-level density of states: 37.5 states/eV/f.u.
* M_tot: 6.788 μB per formula unit
* energy of formation from the pure elements: -932 meV per atom

Geometry as extended XYZ:
```
11
Lattice="4.188 0.000 0.000 0.000 4.345 0.000 0.000 0.000 12.833" Properties=species:S:1:pos:R:3 pbc="T T T"
Eu 0.000 0.000 0.000
Eu 0.000 2.173 3.842
Eu 0.000 2.173 8.991
As 2.094 0.000 4.913
As 2.094 0.000 7.920
As 2.094 2.173 1.287
As 2.094 2.173 11.546
Pd 0.000 0.000 6.416
Pd 2.094 0.000 2.432
Pd 2.094 0.000 10.401
Pd 2.094 2.173 6.416
```

---

No. 2
A plane-wave DFT calculation with PBE was carried out for crystalline EuAsPd at its relaxed geometry.

* SG: P6_3/mmc, No. 194
* V: 135.1 Å³ per cell
* Fermi-level density of states: 4.3 states/eV/f.u.
* M_tot: 6.596 μB per formula unit
* energy of formation from the pure elements: -1025 meV per atom

Geometry as extended XYZ:
```
6
Lattice="4.327 0.000 0.000 -2.163 3.747 0.000 0.000 0.000 8.333" Properties=species:S:1:pos:R:3 pbc="T T T"
Eu 0.000 0.000 0.000
Eu 0.000 0.000 4.166
As 0.000 2.498 2.083
As 2.163 1.249 6.250
Pd 0.000 2.498 6.250
Pd 2.163 1.249 2.083
```

---

No. 3
A plane-wave DFT calculation with PBE was carried out for crystalline EuAsPd3 at its relaxed geometry.

* SG: Pm-3m, No. 221
* V: 108.6 Å³ per cell
* Fermi-level density of states: 19.4 states/eV/f.u.
* M_tot: 6.881 μB per formula unit
* energy of formation from the pure elements: -508 meV per atom

Geometry as extended XYZ:
```
5
Lattice="4.772 0.000 0.000 0.000 4.772 0.000 0.000 0.000 4.772" Properties=species:S:1:pos:R:3 pbc="T T T"
Eu 0.000 0.000 0.000
As 2.386 2.386 2.386
Pd 0.000 2.386 2.386
Pd 2.386 0.000 2.386
Pd 2.386 2.386 0.000
```

---

No. 4
A plane-wave DFT calculation with PBE was carried out for crystalline EuPuAsPd at its relaxed geometry.

* SG: F-43m, No. 216
* V: 93.6 Å³ per cell
* Fermi-level density of states: 16.9 states/eV/f.u.
* M_tot: 12.379 μB per formula unit
* energy of formation from the pure elements: -699 meV per atom

Geometry as extended XYZ:
```
4
Lattice="0.000 3.604 3.604 3.604 0.000 3.604 3.604 3.604 0.000" Properties=species:S:1:pos:R:3 pbc="T T T"
Eu 0.000 0.000 0.000
Pu 3.604 3.604 3.604
As 5.405 5.405 5.405
Pd 1.802 1.802 1.802
```

---

No. 5
A plane-wave DFT calculation with PBE was carried out for crystalline SmEuAsPd at its relaxed geometry.

* SG: F-43m, No. 216
* V: 95.9 Å³ per cell
* Fermi-level density of states: 1.4 states/eV/f.u.
* M_tot: 7.082 μB per formula unit
* energy of formation from the pure elements: -910 meV per atom

Geometry as extended XYZ:
```
4
Lattice="0.000 3.632 3.632 3.632 0.000 3.632 3.632 3.632 0.000" Properties=species:S:1:pos:R:3 pbc="T T T"
Sm 0.000 0.000 0.000
Eu 3.632 3.632 3.632
As 1.816 1.816 1.816
Pd 5.449 5.449 5.449
```

---

No. 6
A plane-wave DFT calculation with PBE was carried out for crystalline SrEuAsPd at its relaxed geometry.

* SG: F-43m, No. 216
* V: 102.2 Å³ per cell
* Fermi-level density of states: 12.8 states/eV/f.u.
* M_tot: 6.850 μB per formula unit
* energy of formation from the pure elements: -816 meV per atom

Geometry as extended XYZ:
```
4
Lattice="0.000 3.710 3.710 3.710 0.000 3.710 3.710 3.710 0.000" Properties=species:S:1:pos:R:3 pbc="T T T"
Sr 0.000 0.000 0.000
Eu 3.710 3.710 3.710
As 5.566 5.566 5.566
Pd 1.855 1.855 1.855
```

---

No. 7
A plane-wave DFT calculation with PBE was carried out for crystalline PmEuAs2 at its relaxed geometry.

* SG: R-3m, No. 166
* V: 110.0 Å³ per cell
* Fermi-level density of states: 10.5 states/eV/f.u.
* M_tot: 6.439 μB per formula unit
* energy of formation from the pure elements: -1300 meV per atom

Geometry as extended XYZ:
```
4
Lattice="2.131 1.230 6.991 -2.131 1.230 6.991 0.000 -2.461 6.991" Properties=species:S:1:pos:R:3 pbc="T T T"
Pm 0.000 0.000 0.000
Eu 0.000 0.000 10.487
As 0.000 0.000 5.273
As 0.000 0.000 15.700
```

---

No. 8
A plane-wave DFT calculation with PBE was carried out for crystalline PmEuAs at its relaxed geometry.

* SG: P3m1, No. 156
* V: 104.5 Å³ per cell
* Fermi-level density of states: 11.2 states/eV/f.u.
* M_tot: 7.735 μB per formula unit
* energy of formation from the pure elements: -832 meV per atom

Geometry as extended XYZ:
```
3
Lattice="4.185 0.000 0.000 -2.093 3.624 0.000 0.000 0.000 6.888" Properties=species:S:1:pos:R:3 pbc="T T T"
Pm 0.000 0.000 0.000
Eu 0.000 2.416 3.480
As 2.093 1.208 5.311
```

---

No. 9
A plane-wave DFT calculation with PBE was carried out for crystalline PmEu3As at its relaxed geometry.

* SG: Pm-3m, No. 221
* V: 198.1 Å³ per cell
* Fermi-level density of states: 6.1 states/eV/f.u.
* M_tot: 22.863 μB per formula unit
* energy of formation from the pure elements: -280 meV per atom

Geometry as extended XYZ:
```
5
Lattice="5.830 0.000 0.000 0.000 5.830 0.000 0.000 0.000 5.830" Properties=species:S:1:pos:R:3 pbc="T T T"
Pm 0.000 0.000 0.000
Eu 0.000 2.915 2.915
Eu 2.915 0.000 2.915
Eu 2.915 2.915 0.000
As 2.915 2.915 2.915
```

---

No. 10
A plane-wave DFT calculation with PBE was carried out for crystalline PmEuAs2 at its relaxed geometry.

* SG: Fm-3m, No. 225
* V: 99.9 Å³ per cell
* Fermi-level density of states: 2.8 states/eV/f.u.
* M_tot: 6.813 μB per formula unit
* energy of formation from the pure elements: -1019 meV per atom

Geometry as extended XYZ:
```
4
Lattice="0.000 3.683 3.683 3.683 0.000 3.683 3.683 3.683 0.000" Properties=species:S:1:pos:R:3 pbc="T T T"
Pm 0.000 0.000 0.000
Eu 3.683 3.683 3.683
As 1.841 1.841 1.841
As 5.524 5.524 5.524
```

---

No. 11
A plane-wave DFT calculation with PBE was carried out for crystalline Pm3EuAs at its relaxed geometry.

* SG: Pm-3m, No. 221
* V: 186.8 Å³ per cell
* Fermi-level density of states: 16.0 states/eV/f.u.
* M_tot: 8.393 μB per formula unit
* energy of formation from the pure elements: -347 meV per atom

Geometry as extended XYZ:
```
5
Lattice="5.716 0.000 0.000 0.000 5.716 0.000 0.000 0.000 5.716" Properties=species:S:1:pos:R:3 pbc="T T T"
Pm 0.000 0.000 2.858
Pm 0.000 2.858 0.000
Pm 2.858 0.000 0.000
Eu 2.858 2.858 2.858
As 0.000 0.000 0.000
```

---

No. 12
A plane-wave DFT calculation with PBE was carried out for crystalline PmEuAs at its relaxed geometry.

* SG: I4mm, No. 107
* V: 86.8 Å³ per cell
* Fermi-level density of states: 3.5 states/eV/f.u.
* M_tot: 8.786 μB per formula unit
* energy of formation from the pure elements: -730 meV per atom

Geometry as extended XYZ:
```
3
Lattice="-1.953 1.953 5.686 1.953 -1.953 5.686 1.953 1.953 -5.686" Properties=species:S:1:pos:R:3 pbc="T T T"
Pm 0.000 0.000 0.000
Eu 0.000 0.000 8.196
As 0.000 0.000 4.370
```